1.
Material: LiOs2Ru
Method: DFT, PBE-GGA
State: relaxed

Theoretical density, g cm⁻³: 12.35
Energy relative to the elements, eV/atom: 0.86
SG: I-42d (122)
Uncorrected energy, hartree per atom: -0.2776

a = 5.747 Å, b = 5.747 Å, c = 5.747 Å
α = 100.17°, β = 100.17°, γ = 130.30°
Element x y z (fractional)
1 Li 0.000 0.000 0.000
2 Li 0.750 0.250 0.500
3 Os 0.178 0.625 0.053
4 Os 0.375 0.428 0.553
5 Os 0.572 0.125 0.947
6 Os 0.875 0.822 0.447
7 Ru 0.250 0.750 0.500
8 Ru 0.500 0.500 0.000

---

2.
Material: LiOsRu2
Method: DFT, PBE-GGA
State: relaxed

Theoretical density, g cm⁻³: 12.41
Energy relative to the elements, eV/atom: 0.23
Energy relative to the lowest polymorph listed for this composition, kJ/mol of formula units: 17
SG: P2/m (10)
Uncorrected energy, hartree per atom: -0.2827

a = 2.679 Å, b = 3.910 Å, c = 5.197 Å
α = 90.00°, β = 100.95°, γ = 90.00°
Element x y z (fractional)
1 Li 0.000 0.000 0.000
2 Os 0.000 0.000 0.500
3 Ru 0.424 0.500 0.242
4 Ru 0.576 0.500 0.758

---

3.
Material: Li2OsRu
Method: DFT, PBE-GGA
State: relaxed

Theoretical density, g cm⁻³: 9.14
Energy relative to the elements, eV/atom: 0.32
Energy relative to the lowest polymorph listed for this composition, kJ/mol of formula units: 85
SG: Cmmm (65)
Uncorrected energy, hartree per atom: -0.2119

a = 5.072 Å, b = 5.072 Å, c = 2.494 Å
α = 90.00°, β = 90.00°, γ = 120.18°
Element x y z (fractional)
1 Li 0.000 0.500 0.000
2 Li 0.500 0.000 0.000
3 Os 0.000 0.000 0.500
4 Ru 0.500 0.500 0.500